This record from the Alexandria database describes crystalline CaMgIn2 at its relaxed geometry. The functional is GGA-PBE.

abc: 3.5527 3.5527 31.2376
angles: 90.00 90.00 120.00
Last column: nearest neighbours and their distance in Å.
Space group R3m (No. 160, hexagonal axes)
One atom of each set of equivalent atoms:
1 Ca 0.0000 0.0000 0.0000 [3 per cell]  3 In 3.34, 3 Mg 3.49, 6 Ca 3.55
2 Mg 0.0000 0.0000 0.2431 [3 per cell]  3 In 3.16, 3 Ca 3.49
3 In 0.0000 0.0000 0.4993 [3 per cell]  3 Mg 3.16, 3 In 3.27
4 In 0.0000 0.0000 0.7512 [3 per cell]  9 In 3.27-3.55, 3 Ca 3.34

Summary:
theoretical density: 4.29 g/cm3
energy relative to the elements: -0.064 eV per atom
M_tot: 0.00 μB/f.u.

***

This record from the Alexandria database describes crystalline Pr4ZnCo2 at its relaxed geometry. The functional is GGA-PBE.

abc: 4.0084 10.5965 18.9215
angles: 90.00 90.00 90.00
Last column: nearest neighbours and their distance in Å.
Space group Cmcm (No. 63)
One atom of each set of equivalent atoms:
1 Pr 0.0000 0.0000 0.0000 [4 per cell]  6 Co 3.01-3.08
2 Pr 0.0000 0.2873 0.1298 [8 per cell]  3 Co 2.82-2.99, 2 Zn 3.14
3 Pr 0.0000 0.4232 0.7500 [4 per cell]  3 Zn 3.02-3.04
4 Zn 0.0000 0.1364 0.7500 [4 per cell]  7 Pr 3.02-3.14
5 Co 0.0000 0.2816 0.5193 [8 per cell]  2 Co 2.24

Summary:
theoretical density: 6.17 g/cm3
energy relative to the elements: 0.053 eV per atom
energy relative to the lowest polymorph listed for this composition: 77 meV/atom
M_tot: 0.90 μB/f.u.

***

This record from the Alexandria database describes crystalline NbSnPd at its relaxed geometry. The functional is GGA-PBE.

abc: 4.5904 4.5904 3.0206
angles: 90.00 90.00 120.00
Last column: nearest neighbours and their distance in Å.
Space group P-6m2 (No. 187)
One atom of each set of equivalent atoms:
1 Nb 0.0000 0.0000 0.0000 [1 per cell]  2 Nb 3.02, 6 Pd 3.05, 6 Sn 3.05
2 Sn 0.6667 0.3333 0.5000 [1 per cell]  3 Pd 2.65
3 Pd 0.3333 0.6667 0.5000 [1 per cell]  3 Sn 2.65

Summary:
theoretical density: 9.58 g/cm3
energy relative to the elements: -0.237 eV per atom
M_tot: 0.00 μB/f.u.

***

This record from the Alexandria database describes crystalline Cs2HgSb3Pb4 at its relaxed geometry. The functional is GGA-PBE.

abc: 5.5723 5.5723 12.5858
angles: 90.00 90.00 90.00
Last column: nearest neighbours and their distance in Å.
Space group P-4m2 (No. 115)
One atom of each set of equivalent atoms:
1 Cs 0.0000 0.5000 0.2409 [2 per cell]  2 Hg 4.12, 6 Sb 4.12-4.25, 9 Pb 4.24-4.51
2 Hg 0.5000 0.5000 0.0000 [1 per cell]  4 Pb 3.15
3 Sb 0.0000 0.0000 0.0000 [1 per cell]  4 Pb 3.15
4 Sb 0.0000 0.5000 0.6318 [2 per cell]  5 Pb 3.16-3.24
5 Pb 0.0000 0.0000 0.5000 [1 per cell]  4 Sb 3.24
6 Pb 0.0000 0.5000 0.8829 [2 per cell]  2 Hg 3.15, 3 Sb 3.15-3.16
7 Pb 0.5000 0.5000 0.5000 [1 per cell]  4 Sb 3.24

Summary:
theoretical density: 7.06 g/cm3
ΔE_f (raw): -0.181 eV per atom
M_tot: 0.00 μB/f.u.

***

This record from the Alexandria database describes crystalline BaSr2SiO at its relaxed geometry. The functional is GGA-PBE.

abc: 5.1198 5.1198 5.3484
angles: 90.00 90.00 90.00
Last column: nearest neighbours and their distance in Å.
Space group P4/mmm (No. 123)
One atom of each set of equivalent atoms:
1 Ba 0.0000 0.0000 0.0000 [1 per cell]  2 O 2.67
2 Sr 0.0000 0.5000 0.5000 [2 per cell]  2 O 2.56
3 Si 0.5000 0.5000 0.0000 [1 per cell]  4 Ba 3.62, 8 Sr 3.70
4 O 0.0000 0.0000 0.5000 [1 per cell]  4 Sr 2.56, 2 Ba 2.67

Summary:
theoretical density: 4.22 g/cm3
energy relative to the lowest polymorph listed for this composition: 0 meV/atom
ΔE_f (raw): -1.222 eV per atom
M_tot: 0.00 μB/f.u.

***

This record from the Alexandria database describes crystalline ScAsPb3 at its relaxed geometry. The functional is GGA-PBE.

abc: 5.5868 5.5868 5.5868
angles: 90.00 90.00 90.00
Last column: nearest neighbours and their distance in Å.
Space group Pm-3m (No. 221)
One atom of each set of equivalent atoms:
1 Sc 0.0000 0.0000 0.0000 [1 per cell]  6 Pb 2.79
2 As 0.5000 0.5000 0.5000 [1 per cell]  12 Pb 3.95
3 Pb 0.0000 0.0000 0.5000 [3 per cell]  2 Sc 2.79

Summary:
theoretical density: 7.06 g/cm3
energy relative to the elements: 0.593 eV per atom
energy relative to the lowest polymorph listed for this composition: 68 meV/atom
M_tot: 0.00 μB/f.u.

***

This record from the Alexandria database describes crystalline Na2TlBiH at its relaxed geometry. The functional is GGA-PBE.

abc: 5.1562 5.1562 4.5083
angles: 90.00 90.00 90.00
Last column: nearest neighbours and their distance in Å.
Space group P4/mmm (No. 123)
One atom of each set of equivalent atoms:
1 Na 0.0000 0.5000 0.0000 [2 per cell]  2 H 2.58
2 Tl 0.0000 0.0000 0.5000 [1 per cell]  8 Na 3.42, 4 Bi 3.65
3 Bi 0.5000 0.5000 0.5000 [1 per cell]  2 H 2.25
4 H 0.5000 0.5000 0.0000 [1 per cell]  2 Bi 2.25

Summary:
theoretical density: 6.38 g/cm3
energy relative to the lowest polymorph listed for this composition: 70 meV/atom
M_tot: 0.00 μB/f.u.

***

This record from the Alexandria database describes crystalline K3Pm3InO8 at its relaxed geometry. The functional is GGA-PBE.

abc: 7.1087 7.1087 18.9450
angles: 90.00 90.00 120.00
Last column: nearest neighbours and their distance in Å.
Space group R-3m (No. 166, hexagonal axes)
One atom of each set of equivalent atoms:
1 K 0.0000 0.5000 0.0000 [9 per cell]  6 O 2.84-2.85
2 Pm 0.0000 0.5000 0.5000 [9 per cell]  6 O 2.37-2.40
3 In 0.0000 0.0000 0.5000 [3 per cell]  6 O 2.25
4 O 0.0000 0.0000 0.2288 [6 per cell]  3 Pm 2.37
5 O 0.0177 0.5088 0.2268 [18 per cell]  1 In 2.25, 2 Pm 2.40

Summary:
theoretical density: 4.78 g/cm3
ΔE_f (raw): -2.301 eV per atom
M_tot: 1.24 μB/f.u.